Material: CrPt2Cl
Method: DFT, PBEsol
State: optimized geometry

Lattice parameters (Å, degrees): 4.676 4.676 2.823 90.00 90.00 90.00
Space group P4/mmm (No. 123)
Unique sites:
Cr 0.000 0.000 0.000 x1
Pt 0.000 0.500 0.500 x2
Cl 0.500 0.500 0.000 x1

## Properties
total DFT energy (no corrections): -23.6 eV per formula unit
calculated density: 12.85 g/cm³
uncorrected formation energy: 639.3 meV/atom
offset from the most stable computed form: 583 meV/atom

=====

Material: CrHg2Cl
Method: DFT, PBEsol
State: optimized geometry

Lattice parameters (Å, degrees): 3.175 5.527 9.682 90.00 90.00 90.00
Space group Imm2 (No. 44)
Unique sites:
Cr 0.000 0.000 0.000 x2
Hg 0.000 0.000 0.510 x2
Hg 0.000 0.500 0.736 x2
Cl 0.000 0.500 0.317 x2

## Properties
total DFT energy (no corrections): -13.2 eV per formula unit
calculated density: 9.55 g/cm³
uncorrected formation energy: 42.5 meV/atom
offset from the most stable computed form: 0 meV/atom

=====

Material: Cr2SiBr
Method: DFT, PBEsol
State: optimized geometry

Lattice parameters (Å, degrees): 3.5976 3.5976 18.7425 90.00 90.00 120.00
Space group R-3m (No. 166, hexagonal axes)
Unique sites:
Cr 0.0000 0.0000 0.2315 x6
Si 0.0000 0.0000 0.5000 x3
Br 0.0000 0.0000 0.0000 x3

## Properties
total DFT energy (no corrections): -27.0 eV per formula unit
calculated density: 5.03 g/cm³
uncorrected formation energy: 273.8 meV/atom
offset from the most stable computed form: 13 meV/atom

=====

Copy entry 2 word for word.
Material: CrHg2Cl
Method: DFT, PBEsol
State: optimized geometry

Lattice parameters (Å, degrees): 3.175 5.527 9.682 90.00 90.00 90.00
Space group Imm2 (No. 44)
Unique sites:
Cr 0.000 0.000 0.000 x2
Hg 0.000 0.000 0.510 x2
Hg 0.000 0.500 0.736 x2
Cl 0.000 0.500 0.317 x2

## Properties
total DFT energy (no corrections): -13.2 eV per formula unit
calculated density: 9.55 g/cm³
uncorrected formation energy: 42.5 meV/atom
offset from the most stable computed form: 0 meV/atom

=====

What did the third record say?
Material: Cr2SiBr
Method: DFT, PBEsol
State: optimized geometry

Lattice parameters (Å, degrees): 3.5976 3.5976 18.7425 90.00 90.00 120.00
Space group R-3m (No. 166, hexagonal axes)
Unique sites:
Cr 0.0000 0.0000 0.2315 x6
Si 0.0000 0.0000 0.5000 x3
Br 0.0000 0.0000 0.0000 x3

## Properties
total DFT energy (no corrections): -27.0 eV per formula unit
calculated density: 5.03 g/cm³
uncorrected formation energy: 273.8 meV/atom
offset from the most stable computed form: 13 meV/atom

=====

> Which formula does entry 2 have?

CrHg2Cl

=====

Repeat the first record exactly.
Material: CrPt2Cl
Method: DFT, PBEsol
State: optimized geometry

Lattice parameters (Å, degrees): 4.676 4.676 2.823 90.00 90.00 90.00
Space group P4/mmm (No. 123)
Unique sites:
Cr 0.000 0.000 0.000 x1
Pt 0.000 0.500 0.500 x2
Cl 0.500 0.500 0.000 x1

## Properties
total DFT energy (no corrections): -23.6 eV per formula unit
calculated density: 12.85 g/cm³
uncorrected formation energy: 639.3 meV/atom
offset from the most stable computed form: 583 meV/atom